Entry from Alexandria via LeMat-Bulk: a relaxed LiCaOs2 crystal (PBE-GGA).

Total moment (Bohr magnetons per cell): 0.0
Space group: P2/m, No. 10
ΔH_f (0 K) (meV per atom): 413
Calculated volume (Å³/atom): 16.31

Lattice parameters (Å, degrees): 4.778 2.843 4.849 82.00 90.00 90.00
Fractional positions:
Os: 0.000 0.935 0.980
Os: 0.000 0.565 0.520
Ca: 0.500 0.250 0.250
Li: 0.500 0.750 0.750